Mg3Nb PBE-GGA optimized geometry; total magnetization = 0.84 μB per formula unit; uncorrected energy = -3.423 eV/atom; SG = No. 194
1.0
6.109 0.000 0.000
-3.054 5.290 0.000
0.000 0.000 4.976
Mg Nb
6 2
Cartesian
0.000 1.801 1.244
-1.495 4.390 1.244
1.559 0.900 3.732
1.495 4.390 1.244
4.549 0.900 3.732
3.054 3.490 3.732
0.000 3.527 3.732
3.054 1.763 1.244

CsNbAs PBE-GGA optimized geometry; total magnetization = 3.00 μB per formula unit; uncorrected energy = -3.380 eV/atom; SG = No. 216; energy above the most stable polymorph in this dataset = 799.7 meV/atom
1.0
0.000 3.693 3.693
3.693 0.000 3.693
3.693 3.693 0.000
Cs Nb As
1 1 1
Cartesian
0.000 0.000 0.000
1.846 1.846 1.846
5.539 5.539 5.539

Na2Fe2AsP PBE-GGA optimized geometry; total magnetization = 0.01 μB per formula unit; uncorrected energy = -5.270 eV/atom; SG = No. 99
1.0
3.841 0.000 0.000
0.000 3.841 0.000
0.000 0.000 6.702
Na Fe As P
2 2 1 1
Cartesian
0.000 0.000 0.000
1.920 1.920 1.984
0.000 1.920 4.419
1.920 0.000 4.419
0.000 0.000 3.082
1.920 1.920 5.514

ZrGeTe PBE-GGA optimized geometry; total magnetization = 0.00 μB per formula unit; uncorrected energy = -5.296 eV/atom; SG = No. 216; energy above the most stable polymorph in this dataset = 667.9 meV/atom
1.0
0.000 3.399 3.399
3.399 0.000 3.399
3.399 3.399 0.000
Zr Ge Te
1 1 1
Cartesian
0.000 0.000 0.000
3.399 3.399 3.399
5.099 5.099 5.099

DyHfZn PBE-GGA optimized geometry; ΔH_f (0 K) = 0.27 eV/atom; total magnetization = 0.70 μB per formula unit; uncorrected energy = -5.004 eV/atom; SG = No. 216; energy above the most stable polymorph in this dataset = 0.0 meV/atom
1.0
0.000 3.325 3.325
3.325 0.000 3.325
3.325 3.325 0.000
Dy Hf Zn
1 1 1
Cartesian
0.000 0.000 0.000
3.325 3.325 3.325
1.663 1.663 1.663

TbHo3Pt4 PBE-GGA optimized geometry; ΔH_f (0 K) = -1.29 eV/atom; total magnetization = 0.04 μB per formula unit; uncorrected energy = -6.617 eV/atom; SG = No. 6
1.0
5.560 0.000 0.000
0.000 4.497 0.000
-0.021 0.000 7.003
Tb Ho Pt
1 3 4
Cartesian
0.000 0.000 0.000
1.555 2.248 2.551
2.763 2.248 6.045
4.328 0.000 3.501
1.638 0.000 4.454
2.695 0.000 0.966
4.415 2.248 1.601
5.458 2.248 5.072

TlHgPO PBE-GGA optimized geometry; uncorrected energy = -3.036 eV/atom; SG = No. 129; energy above the most stable polymorph in this dataset = 355.1 meV/atom
1.0
4.570 0.000 0.000
0.000 4.570 0.000
0.000 0.000 9.404
Tl Hg P O
2 2 2 2
Cartesian
1.143 3.428 0.000
3.428 1.143 0.000
1.143 1.143 4.133
3.428 3.428 5.270
1.143 1.143 1.505
3.428 3.428 7.899
1.143 3.428 4.702
3.428 1.143 4.702

SmThZn PBE-GGA optimized geometry; ΔH_f (0 K) = 0.71 eV/atom; total magnetization = 0.64 μB per formula unit; uncorrected energy = -3.758 eV/atom; SG = No. 216
1.0
0.000 3.509 3.509
3.509 0.000 3.509
3.509 3.509 0.000
Sm Th Zn
1 1 1
Cartesian
0.000 0.000 0.000
5.263 5.263 5.263
1.754 1.754 1.754